PBE-GGA Y2HfScN, optimized geometry; total moment = 0.000 μB per formula unit; space-group type = P4/mmm; uncorrected energy = -8.1059 eV/atom; N(E_F) = 1.072 states/eV/atom
1.0
5.026 0.000 0.000
0.000 5.026 0.000
0.000 0.000 4.340
Y Sc Hf N
2 1 1 1
Direct
0.000 0.500 0.000
0.500 0.000 0.000
0.500 0.500 0.500
0.000 0.000 0.500
0.000 0.000 0.000